The following is a DFT calculation (GGA+U) of a relaxed Li2Co3TeO8 crystal.

volume: 152.7 Å³ per cell
SG: R-3m (166)
crystal system: trigonal
final energy: -0.4186 Ry/atom
magnetization: 7.00 Bohr magnetons per cell
density: 4.9 Mg/m³
ΔE to the lowest computed polymorph: 0 meV/atom

Geometry as POSCAR:
```
Li2Co3TeO8
1.0
2.9570 1.7072 5.0412
-2.9570 1.7072 5.0412
0.0000 -3.4144 5.0412
Li Co Te O
2 3 1 8
direct
0.1355 0.1355 0.1355
0.8645 0.8645 0.8645
0.0000 0.5000 0.5000
0.5000 0.0000 0.5000
0.5000 0.5000 0.0000
0.5000 0.5000 0.5000
0.2689 0.2689 0.7237
0.2689 0.7237 0.2689
0.2716 0.2716 0.2716
0.2763 0.7311 0.7311
0.7237 0.2689 0.2689
0.7284 0.7284 0.7284
0.7311 0.2763 0.7311
0.7311 0.7311 0.2763
```